Entry 1:
Density functional theory data (PBE) for a relaxed structure of Ba4MgTe.

**V**: 1143 Å³ per cell
**Raw formation energy**: 9.5 kJ per mole of atoms
**DOS(E_F)**: 1.335 states/eV/atom

a = 10.456 Å, b = 10.456 Å, c = 10.456 Å
α = 90.00°, β = 90.00°, γ = 90.00°
Space group F-43m (No. 216)
One atom of each set of equivalent atoms:
Ba1 0.124 0.124 0.376 (multiplicity 16)
Mg1 0.000 0.000 0.000 (multiplicity 4)
Te1 0.250 0.250 0.750 (multiplicity 4)


Entry 2:
Density functional theory data (PBE) for a relaxed structure of BaMgTe.

**V**: 207 Å³ per cell
**Raw formation energy**: -72.8 kJ per mole of atoms
**DOS(E_F)**: 0.085 states/eV/atom

a = 4.116 Å, b = 4.116 Å, c = 12.217 Å
α = 90.00°, β = 90.00°, γ = 90.00°
Space group I4mm (No. 107)
One atom of each set of equivalent atoms:
Ba1 0.000 0.000 0.000 (multiplicity 2)
Mg1 0.000 0.000 0.299 (multiplicity 2)
Te1 0.000 0.000 0.690 (multiplicity 2)


Entry 3:
Density functional theory data (PBE) for a relaxed structure of BaMg4Te2.

**V**: 641 Å³ per cell
**Raw formation energy**: 36.8 kJ per mole of atoms
**DOS(E_F)**: 0.800 states/eV/atom

a = 6.319 Å, b = 6.319 Å, c = 16.060 Å
α = 90.00°, β = 90.00°, γ = 90.00°
Space group I4/mmm (No. 139)
One atom of each set of equivalent atoms:
Ba1 0.000 0.000 0.000 (multiplicity 2)
Mg1 0.000 0.000 0.225 (multiplicity 4)
Mg2 0.000 0.500 0.000 (multiplicity 4)
Te1 0.000 0.000 0.398 (multiplicity 4)


Entry 4:
Density functional theory data (PBE) for a relaxed structure of Ba2Mg2Te.

**V**: 382 Å³ per cell
**Raw formation energy**: -35.6 kJ per mole of atoms
**DOS(E_F)**: 0.455 states/eV/atom

a = 8.488 Å, b = 8.488 Å, c = 5.299 Å
α = 90.00°, β = 90.00°, γ = 90.00°
Space group P4/mbm (No. 127)
One atom of each set of equivalent atoms:
Ba1 0.175 0.325 0.000 (multiplicity 4)
Mg1 0.125 0.625 0.500 (multiplicity 4)
Te1 0.000 0.000 0.500 (multiplicity 2)


Entry 5:
Density functional theory data (PBE) for a relaxed structure of Ba3MgTe.

**V**: 292 Å³ per cell
**Raw formation energy**: -41.3 kJ per mole of atoms
**DOS(E_F)**: 1.891 states/eV/atom

a = 6.634 Å, b = 6.634 Å, c = 6.634 Å
α = 90.00°, β = 90.00°, γ = 90.00°
Space group Pm-3m (No. 221)
One atom of each set of equivalent atoms:
Ba1 0.000 0.000 0.500 (multiplicity 3)
Mg1 0.500 0.500 0.500 (multiplicity 1)
Te1 0.000 0.000 0.000 (multiplicity 1)


Entry 6:
Density functional theory data (PBE) for a relaxed structure of BaMgTe.

**V**: 545 Å³ per cell
**Raw formation energy**: -53.3 kJ per mole of atoms
**DOS(E_F)**: 1.234 states/eV/atom

a = 8.170 Å, b = 8.170 Å, c = 8.170 Å
α = 90.00°, β = 90.00°, γ = 90.00°
Space group F-43m (No. 216)
One atom of each set of equivalent atoms:
Ba1 0.000 0.000 0.000 (multiplicity 4)
Mg1 0.000 0.000 0.500 (multiplicity 4)
Te1 0.250 0.250 0.750 (multiplicity 4)


Entry 7:
Density functional theory data (PBE) for a relaxed structure of BaMgTe3.

**V**: 272 Å³ per cell
**Raw formation energy**: 25.2 kJ per mole of atoms
**DOS(E_F)**: 1.229 states/eV/atom

a = 6.476 Å, b = 6.476 Å, c = 6.476 Å
α = 90.00°, β = 90.00°, γ = 90.00°
Space group Pm-3m (No. 221)
One atom of each set of equivalent atoms:
Ba1 0.000 0.000 0.000 (multiplicity 1)
Mg1 0.500 0.500 0.500 (multiplicity 1)
Te1 0.000 0.000 0.500 (multiplicity 3)


Entry 8:
Density functional theory data (PBE) for a relaxed structure of BaMgTe3.

**V**: 175 Å³ per cell
**Raw formation energy**: -73.1 kJ per mole of atoms
**DOS(E_F)**: 1.174 states/eV/atom

a = 5.595 Å, b = 5.595 Å, c = 5.595 Å
α = 90.00°, β = 90.00°, γ = 90.00°
Space group Pm-3m (No. 221)
One atom of each set of equivalent atoms:
Ba1 0.000 0.000 0.000 (multiplicity 1)
Mg1 0.500 0.500 0.500 (multiplicity 1)
Te1 0.000 0.500 0.500 (multiplicity 3)


Entry 9:
Density functional theory data (PBE) for a relaxed structure of Ba2Mg2Te.

**V**: 414 Å³ per cell
**Raw formation energy**: -15.9 kJ per mole of atoms
**DOS(E_F)**: 1.512 states/eV/atom

a = 6.919 Å, b = 6.919 Å, c = 8.644 Å
α = 90.00°, β = 90.00°, γ = 90.00°
Space group I4/mmm (No. 139)
One atom of each set of equivalent atoms:
Ba1 0.000 0.500 0.250 (multiplicity 4)
Mg1 0.000 0.000 0.160 (multiplicity 4)
Te1 0.000 0.000 0.500 (multiplicity 2)


Entry 10:
Density functional theory data (PBE) for a relaxed structure of Ba2MgTe3.

**V**: 923 Å³ per cell
**Raw formation energy**: -142.6 kJ per mole of atoms
**DOS(E_F)**: 0.000 states/eV/atom

a = 9.938 Å, b = 4.815 Å, c = 19.292 Å
α = 90.00°, β = 90.00°, γ = 90.00°
Space group Pnma (No. 62)
One atom of each set of equivalent atoms:
Ba1 0.078 0.250 0.214 (multiplicity 4)
Ba2 0.242 0.250 0.960 (multiplicity 4)
Mg1 0.127 0.250 0.635 (multiplicity 4)
Te1 0.009 0.250 0.402 (multiplicity 4)
Te2 0.119 0.750 0.073 (multiplicity 4)
Te3 0.186 0.250 0.776 (multiplicity 4)


Entry 11:
Density functional theory data (PBE) for a relaxed structure of Ba2ThMgTe5.

**V**: 1368 Å³ per cell
**Raw formation energy**: -134.4 kJ per mole of atoms

a = 4.697 Å, b = 20.216 Å, c = 14.407 Å
α = 90.00°, β = 90.00°, γ = 90.00°
Space group Cmc2_1 (No. 36)
One atom of each set of equivalent atoms:
Ba1 0.000 0.108 0.000 (multiplicity 4)
Ba2 0.000 0.124 0.632 (multiplicity 4)
Th1 0.000 0.208 0.334 (multiplicity 4)
Mg1 0.000 0.445 0.762 (multiplicity 4)
Te1 0.000 0.054 0.370 (multiplicity 4)
Te2 0.000 0.287 0.980 (multiplicity 4)
Te3 0.000 0.307 0.686 (multiplicity 4)
Te4 0.000 0.360 0.320 (multiplicity 4)
Te5 0.000 0.498 0.090 (multiplicity 4)


Entry 12:
Density functional theory data (PBE) for a relaxed structure of Ba2MgUTe6.

**V**: 769 Å³ per cell
**Raw formation energy**: -93.5 kJ per mole of atoms
**DOS(E_F)**: 0.692 states/eV/atom

a = 7.930 Å, b = 11.536 Å, c = 8.403 Å
α = 90.00°, β = 90.00°, γ = 90.00°
Space group Pmmn (No. 59, origin choice 2)
One atom of each set of equivalent atoms:
Ba1 0.250 0.036 0.195 (multiplicity 4)
Mg1 0.250 0.250 0.716 (multiplicity 2)
U1 0.250 0.750 0.776 (multiplicity 2)
Te1 0.005 0.750 0.038 (multiplicity 4)
Te2 0.015 0.250 0.460 (multiplicity 4)
Te3 0.250 0.003 0.767 (multiplicity 4)